Computed, not measured: a geometry-optimized BaPd2WF structure at the GGA+U level of DFT.

**Mass density**: 4.29 g/cm3
**Uncorrected energy**: -3.0337 eV per atom
**Total magnetization**: 4.656 μB/f.u.

a b c (Å): 5.3780 5.3780 7.3954
angles (deg): 90.00 90.00 90.00
Last column: nearest neighbours and their distance in Å.
Space group P4/mmm (No. 123)
Symmetry-distinct sites (fractional):
Ba1 0.0000 0.0000 0.0000 x1  4 Pd 2.69
Pd1 0.0000 0.5000 0.0000 x2  2 Ba 2.69
W1 0.0000 0.0000 0.5000 x1  2 Ba 3.70, 4 F 3.80
F1 0.5000 0.5000 0.5000 x1  4 W 3.80